VASP calculation (GGA-PBE) on a relaxed structure of YGaCu2Ni2.

## Properties
**Total magnetic moment**: 0.00 μB per cell
**Final energy**: -28.56 eV for the cell shown
**Energy of formation from the pure elements**: 0.115 eV per atom

```
data_YGaCu2Ni2
_chemical_formula_sum 'Y1 Ga1 Cu2 Ni2'
_space_group_name_H-M_alt 'P 4/m m m'
_space_group_IT_number 123
_space_group_name_Hall '-P 4 2'
_cell_length_a 4.356
_cell_length_b 4.356
_cell_length_c 5.418
_cell_angle_alpha 90.00
_cell_angle_beta 90.00
_cell_angle_gamma 90.00
loop_
_atom_site_label
_atom_site_type_symbol
_atom_site_fract_x
_atom_site_fract_y
_atom_site_fract_z
Y1 Y 0.000 0.000 0.000
Ga1 Ga 0.000 0.000 0.500
Cu1 Cu 0.500 0.500 0.244
Ni1 Ni 0.000 0.500 0.500
```